## Li2FeF4 (PBE with a Hubbard U)

Data for a relaxed structure of Li2FeF4.

Values from the calculation:
calculated total energy = -5.1515 eV/atom

abc: 5.0922 9.6687 3.2107
angles: 90.00 90.00 90.00
Space group Pbam (No. 55)
One atom of each set of equivalent atoms:
1 Li 0.0171 0.1823 0.0000 [4 per cell]
2 Fe 0.0000 0.5000 0.5000 [2 per cell]
3 F 0.1546 0.3737 0.0000 [4 per cell]
4 F 0.1838 0.1242 0.5000 [4 per cell]